# 1
VASP calculation (GGA-PBE) on a geometry-optimized Be3Os2 structure.

SG: R-3m
ΔE to the lowest computed polymorph (eV per atom): 0.443
E_form (kJ/mol of atoms): 13.7

a b c (Å): 9.5228 9.5228 9.5228
angles (deg): 16.15 16.15 16.15
With the nearest neighbours (Å) after each atom.
Atoms (fractional coordinates):
1 Be 0.2004 0.2004 0.2004  3 Os 2.42, 9 Be 2.45-2.68
2 Os 0.5997 0.5997 0.5997  6 Be 2.42-2.44, 6 Os 2.68
3 Be 0.0000 0.0000 0.0000  6 Os 2.44, 6 Be 2.68
4 Be 0.7996 0.7996 0.7996  3 Os 2.42, 9 Be 2.45-2.68
5 Os 0.4003 0.4003 0.4003  6 Be 2.42-2.44, 6 Os 2.68

***

# 2
VASP calculation (GGA-PBE) on a geometry-optimized BeOs5 structure.

SG: Amm2
ΔE to the lowest computed polymorph (eV per atom): 0.093
E_form (kJ/mol of atoms): 11.9

a b c (Å): 7.0760 7.0760 4.3012
angles (deg): 90.00 90.00 157.50
With the nearest neighbours (Å) after each atom.
Atoms (fractional coordinates):
1 Be 0.9957 0.0043 0.0000  10 Os 2.60-2.74, 2 Be 2.76
2 Os 0.3372 0.6628 0.0000  2 Be 2.60, 10 Os 2.64-2.76
3 Os 0.4476 0.5524 0.5000  8 Os 2.61-2.76, 4 Be 2.64
4 Os 0.1072 0.8928 0.5000  10 Os 2.61-2.77, 2 Be 2.65
5 Os 0.6658 0.3342 0.0000  10 Os 2.67-2.76, 2 Be 2.74
6 Os 0.7799 0.2201 0.5000  12 Os 2.67-2.77